Record 1
# Pm8Tm5Tl

An optimized crystal structure of Pm8Tm5Tl (GGA-PBE, Alexandria via LeMat-Bulk).

## Properties
- Total moment: 0.000 μB/atom
- E_form: 121 meV/atom
- DOS(E_F): 21.9 states/eV/cell
- ρ: 7.9 Mg/m³
- Volume: 465 Å³/cell

Cell lengths 8.7831, 8.9434, 8.7831 Å; angles 123.13, 123.00, 84.31 degrees
Last column: nearest neighbours and their distance in Å.
Atoms (fractional coordinates):
Pm1 0.0680 0.5848 0.0157  1 Tl 3.26, 1 Pm 3.41, 1 Tm 3.46
Pm2 0.9516 0.0735 0.6601  5 Tm 3.26-3.59, 4 Pm 3.27-3.49
Pm3 0.7705 0.2750 0.4006  1 Tl 3.19, 4 Pm 3.27-3.45, 2 Tm 3.34-3.36
Pm4 0.6686 0.6817 0.1025  1 Tl 3.35, 4 Pm 3.42-3.49
Pm5 0.4208 0.3183 0.9869  1 Tl 3.35, 4 Pm 3.42-3.49
Pm6 0.5866 0.9265 0.8780  5 Tm 3.26-3.59, 4 Pm 3.27-3.49
Pm7 0.4309 0.4152 0.4833  1 Tl 3.26, 1 Pm 3.41, 1 Tm 3.46
Pm8 0.1255 0.7250 0.4954  1 Tl 3.19, 4 Pm 3.27-3.45, 2 Tm 3.34-3.36
Tm1 0.8892 0.2741 0.0681  4 Pm 3.26-3.59, 2 Tm 3.46-3.51
Tm2 0.0717 0.0448 0.3159  3 Tm 3.27-3.53, 1 Tl 3.32, 4 Pm 3.34-3.59
Tm3 0.7940 0.7259 0.6151  4 Pm 3.26-3.59, 2 Tm 3.46-3.51
Tm4 0.4999 0.0000 0.4999  4 Tm 3.27-3.51, 2 Pm 3.40
Tm5 0.2711 0.9552 0.0269  3 Tm 3.27-3.53, 1 Tl 3.32, 4 Pm 3.34-3.59
Tl1 0.2016 0.5000 0.7016  6 Pm 3.19-3.35, 2 Tm 3.32


Record 2
# HgMoBr2

An optimized crystal structure of HgMoBr2 (GGA-PBE, Alexandria via LeMat-Bulk).

## Properties
- Total moment: 1.000 μB/atom
- ρ: 5.4 Mg/m³
- Volume: 140 Å³/cell
- Excess energy over the best structure of this formula in the dataset: 97 meV per atom

Cell lengths 6.8038, 6.8038, 6.6496 Å; angles 60.84, 60.84, 31.79 degrees
Last column: nearest neighbours and their distance in Å.
Atoms (fractional coordinates):
Mo1 0.2500 0.2500 0.2500  4 Br 2.62
Hg1 0.7500 0.7500 0.7500  2 Hg 3.73, 4 Br 3.80, 4 Mo 3.81
Br1 0.9130 0.9130 0.0874  2 Mo 2.62
Br2 0.5870 0.5870 0.4126  2 Mo 2.62


Record 3
# CrNi3Os

An optimized crystal structure of CrNi3Os (GGA-PBE, Alexandria via LeMat-Bulk).

## Properties
- Total moment: 0.765 μB/atom
- E_form: 1406 meV/atom
- DOS(E_F): 5.6 states/eV/cell
- ρ: 7.7 Mg/m³
- Volume: 90 Å³/cell
- Excess energy over the best structure of this formula in the dataset: 0 meV per atom

Cell lengths 4.4816, 4.4816, 4.4816 Å; angles 90.00, 90.00, 90.00 degrees
Last column: nearest neighbours and their distance in Å.
Atoms (fractional coordinates):
Ni1 0.0000 0.5000 0.0000  2 Os 2.24
Ni2 0.0000 0.0000 0.5000  2 Os 2.24
Ni3 0.5000 0.0000 0.0000  2 Os 2.24
Os1 0.0000 0.0000 0.0000  6 Ni 2.24
Cr1 0.5000 0.5000 0.5000  12 Ni 3.17


Record 4
# Sr2TeMo

An optimized crystal structure of Sr2TeMo (GGA-PBE, Alexandria via LeMat-Bulk).

## Properties
- Uncorrected energy: -17.2 eV/cell
- Total moment: 0.604 μB/atom
- DOS(E_F): 3.0 states/eV/cell
- ρ: 5.0 Mg/m³
- Volume: 131 Å³/cell

Cell lengths 4.3467, 4.8474, 6.6879 Å; angles 68.73, 90.00, 90.00 degrees
Last column: nearest neighbours and their distance in Å.
Atoms (fractional coordinates):
Mo1 0.5000 0.5543 0.7671  2 Te 2.77
Sr1 0.0000 0.9822 0.9109  4 Mo 3.38, 3 Te 3.56-3.62
Sr2 0.5000 0.2723 0.3300  4 Te 3.41, 3 Mo 3.51-3.65
Te1 0.0000 0.6912 0.4920  2 Mo 2.77


Record 5
# CaEr3Zn4

An optimized crystal structure of CaEr3Zn4 (GGA-PBE, Alexandria via LeMat-Bulk).

## Properties
- Total moment: 0.000 μB/atom
- E_form: -321 meV/atom
- DOS(E_F): 10.2 states/eV/cell
- ρ: 7.4 Mg/m³
- Volume: 362 Å³/cell

Cell lengths 5.0325, 7.1475, 10.0660 Å; angles 90.00, 90.00, 90.00 degrees
Last column: nearest neighbours and their distance in Å.
Atoms (fractional coordinates):
Ca1 0.0000 0.5000 0.0000  8 Zn 3.12
Ca2 0.0000 0.5000 0.5000  8 Zn 3.12
Zn1 0.5000 0.7579 0.0000  6 Er 3.05-3.12, 2 Ca 3.12
Zn2 0.5000 0.7579 0.5000  6 Er 3.05-3.12, 2 Ca 3.12
Zn3 0.5000 0.2421 0.0000  6 Er 3.05-3.12, 2 Ca 3.12
Zn4 0.5000 0.2421 0.5000  6 Er 3.05-3.12, 2 Ca 3.12
Zn5 0.9992 0.7578 0.7500  6 Er 3.05-3.12, 2 Ca 3.12
Zn6 0.0008 0.7578 0.2500  6 Er 3.05-3.12, 2 Ca 3.12
Zn7 0.0008 0.2422 0.2500  6 Er 3.05-3.12, 2 Ca 3.12
Zn8 0.9992 0.2422 0.7500  6 Er 3.05-3.12, 2 Ca 3.12
Er1 0.0000 0.0000 0.0000  8 Zn 3.05
Er2 0.0000 0.0000 0.5000  8 Zn 3.05
Er3 0.4994 0.0000 0.7500  8 Zn 3.05
Er4 0.5006 0.0000 0.2500  8 Zn 3.05
Er5 0.4995 0.5000 0.7500  8 Zn 3.12
Er6 0.5005 0.5000 0.2500  8 Zn 3.12


Record 6
# Ba2AlPt4

An optimized crystal structure of Ba2AlPt4 (GGA-PBE, Alexandria via LeMat-Bulk).

## Properties
- Total moment: 0.000 μB/atom
- E_form: -437 meV/atom
- DOS(E_F): 4.5 states/eV/cell
- ρ: 9.7 Mg/m³
- Volume: 186 Å³/cell

Cell lengths 4.7463, 4.7463, 8.9065 Å; angles 74.55, 74.55, 90.00 degrees
Last column: nearest neighbours and their distance in Å.
Atoms (fractional coordinates):
Ba1 0.3497 0.3497 0.3006  9 Pt 3.36-3.43
Ba2 0.6503 0.6503 0.6994  9 Pt 3.36-3.43
Pt1 0.1450 0.1450 0.7101  1 Al 2.39
Pt2 0.8550 0.8550 0.2899  1 Al 2.39
Pt3 0.0000 0.5000 0.0000  2 Al 2.37
Pt4 0.5000 0.0000 0.0000  2 Al 2.37
Al1 0.0000 0.0000 0.0000  6 Pt 2.37-2.39


Record 7
# MnRhSe2

An optimized crystal structure of MnRhSe2 (GGA-PBE, Alexandria via LeMat-Bulk).

## Properties
- Total moment: 0.920 μB/atom
- DOS(E_F): 2.7 states/eV/cell
- ρ: 7.9 Mg/m³
- Volume: 66 Å³/cell
- Excess energy over the best structure of this formula in the dataset: 417 meV per atom

Cell lengths 5.3566, 5.3566, 5.3566 Å; angles 138.67, 138.67, 59.87 degrees
Last column: nearest neighbours and their distance in Å.
Atoms (fractional coordinates):
Mn1 0.5000 0.5000 0.0000  8 Se 2.67-2.99, 4 Rh 2.99
Rh1 0.7500 0.2500 0.5000  8 Se 2.67-2.99, 4 Mn 2.99
Se1 0.0000 0.0000 0.0000  4 Mn 2.67, 4 Se 2.99, 4 Rh 2.99
Se2 0.2500 0.7500 0.5000  4 Rh 2.67, 4 Mn 2.99, 4 Se 2.99


Record 8
# Ac2NiBi2H4

An optimized crystal structure of Ac2NiBi2H4 (GGA-PBE, Alexandria via LeMat-Bulk).

## Properties
- Uncorrected energy: -37.2 eV/cell
- Total moment: 0.000 μB/atom
- DOS(E_F): 1.8 states/eV/cell
- ρ: 8.2 Mg/m³
- Volume: 188 Å³/cell

Cell lengths 6.4051, 6.4051, 6.4051 Å; angles 91.50, 119.14, 119.14 degrees
Last column: nearest neighbours and their distance in Å.
Atoms (fractional coordinates):
Ac1 0.5000 0.7500 0.2500  8 H 3.29, 4 Bi 3.31
Ac2 0.5000 0.2500 0.7500  8 H 3.29, 4 Bi 3.31
Ni1 0.0000 0.0000 0.0000  4 H 1.56
Bi1 0.0000 0.6764 0.6764  1 Ni 2.89, 1 Bi 3.15
Bi2 0.0000 0.3236 0.3236  1 Ni 2.89, 1 Bi 3.15
H1 0.0000 0.8300 0.1700  1 Ni 1.56
H2 0.6601 0.8300 0.8300  1 Ni 1.56
H3 0.0000 0.1700 0.8300  1 Ni 1.56
H4 0.3399 0.1700 0.1700  1 Ni 1.56


Record 9
# Er2HgOsC

An optimized crystal structure of Er2HgOsC (GGA-PBE, Alexandria via LeMat-Bulk).

## Properties
- Total moment: 0.000 μB/atom
- E_form: -453 meV/atom
- DOS(E_F): 1.6 states/eV/cell
- ρ: 12.7 Mg/m³
- Volume: 97 Å³/cell

Cell lengths 3.9221, 4.9648, 4.9648 Å; angles 90.00, 90.00, 90.00 degrees
Last column: nearest neighbours and their distance in Å.
Atoms (fractional coordinates):
Er1 0.0000 0.0000 0.5000  2 C 2.48
Er2 0.0000 0.5000 0.0000  2 C 2.48
Hg1 0.5000 0.5000 0.5000  8 Er 3.16, 4 Os 3.51
Os1 0.5000 0.0000 0.0000  2 C 1.96
C1 0.0000 0.0000 0.0000  2 Os 1.96


Record 10
# YMg2PtN

An optimized crystal structure of YMg2PtN (GGA-PBE, Alexandria via LeMat-Bulk).

## Properties
- Total moment: 0.000 μB/atom
- DOS(E_F): 2.0 states/eV/cell
- ρ: 6.7 Mg/m³
- Volume: 86 Å³/cell
- Excess energy over the best structure of this formula in the dataset: 0 meV per atom

Cell lengths 4.2564, 4.2564, 4.7223 Å; angles 90.00, 90.00, 90.00 degrees
Last column: nearest neighbours and their distance in Å.
Atoms (fractional coordinates):
Y1 0.0000 0.0000 0.5000  2 N 2.36
Mg1 0.0000 0.5000 0.0000  2 N 2.13
Mg2 0.5000 0.0000 0.0000  2 N 2.13
Pt1 0.5000 0.5000 0.5000  4 Y 3.01, 8 Mg 3.18
N1 0.0000 0.0000 0.0000  4 Mg 2.13, 2 Y 2.36


Record 11
# Li2TbThSi2

An optimized crystal structure of Li2TbThSi2 (GGA-PBE, Alexandria via LeMat-Bulk).

## Properties
- Uncorrected energy: -29.9 eV/cell
- Total moment: 0.000 μB/atom
- DOS(E_F): 3.3 states/eV/cell
- ρ: 6.2 Mg/m³
- Volume: 123 Å³/cell

Cell lengths 4.4085, 4.4085, 7.2965 Å; angles 90.00, 90.00, 120.00 degrees
Last column: nearest neighbours and their distance in Å.
Atoms (fractional coordinates):
Li1 0.3333 0.6667 0.7843  3 Si 2.55
Li2 0.6667 0.3333 0.2157  3 Si 2.55
Tb1 0.0000 0.0000 0.0000  6 Li 2.99, 6 Si 3.11
Th1 0.0000 0.0000 0.5000  6 Si 3.16, 6 Li 3.28
Si1 0.3333 0.6667 0.2443  3 Li 2.55
Si2 0.6667 0.3333 0.7557  3 Li 2.55


Record 12
# SmSnPt2

An optimized crystal structure of SmSnPt2 (GGA-PBE, Alexandria via LeMat-Bulk).

## Properties
- Total moment: 0.000 μB/atom
- E_form: -790 meV/atom
- DOS(E_F): 2.4 states/eV/cell
- ρ: 13.2 Mg/m³
- Volume: 83 Å³/cell

Cell lengths 3.7471, 4.6975, 4.6975 Å; angles 90.00, 90.00, 90.00 degrees
Last column: nearest neighbours and their distance in Å.
Atoms (fractional coordinates):
Sm1 0.5000 0.5000 0.5000  8 Pt 3.00, 4 Sn 3.32
Pt1 0.0000 0.0000 0.5000  4 Sn 3.00, 4 Sm 3.00, 4 Pt 3.32
Pt2 0.0000 0.5000 0.0000  4 Sn 3.00, 4 Sm 3.00, 4 Pt 3.32
Sn1 0.5000 0.0000 0.0000  8 Pt 3.00, 4 Sm 3.32


Record 13
# Mg2ReSb

An optimized crystal structure of Mg2ReSb (GGA-PBE, Alexandria via LeMat-Bulk).

## Properties
- Uncorrected energy: -34.2 eV/cell
- Total moment: 0.087 μB/atom
- DOS(E_F): 5.4 states/eV/cell
- ρ: 5.4 Mg/m³
- Volume: 218 Å³/cell

Cell lengths 9.2594, 9.2594, 7.0237 Å; angles 48.76, 48.76, 90.00 degrees
Last column: nearest neighbours and their distance in Å.
Atoms (fractional coordinates):
Re1 0.0000 0.0000 0.0000  2 Sb 2.54, 4 Mg 2.66
Re2 0.7500 0.2500 0.5000  2 Sb 2.54, 4 Mg 2.66
Mg1 0.7506 0.1250 0.2500  2 Re 2.66
Mg2 0.9994 0.6250 0.2500  2 Re 2.66
Mg3 0.3750 0.2494 0.7500  2 Re 2.66
Mg4 0.8750 0.0006 0.7500  2 Re 2.66
Sb1 0.5000 0.5000 0.0000  2 Re 2.54
Sb2 0.2500 0.7500 0.5000  2 Re 2.54


Record 14
# AcCe3Pm2S6

An optimized crystal structure of AcCe3Pm2S6 (GGA-PBE, Alexandria via LeMat-Bulk).

## Properties
- Uncorrected energy: -80.4 eV/cell
- Total moment: 0.218 μB/atom
- DOS(E_F): 17.2 states/eV/cell
- ρ: 6.5 Mg/m³
- Volume: 288 Å³/cell

Cell lengths 7.0665, 7.0665, 7.0780 Å; angles 99.61, 99.61, 120.03 degrees
Last column: nearest neighbours and their distance in Å.
Atoms (fractional coordinates):
Ac1 0.0000 0.0000 0.0000  6 S 2.96-2.97
Ce1 0.1640 0.8360 0.5000  6 S 2.83-2.89
Ce2 0.8360 0.1640 0.5000  6 S 2.83-2.89
Ce3 0.5000 0.5000 0.5000  6 S 2.82-2.89
Pm1 0.3331 0.6669 0.0000  6 S 2.87-2.89
Pm2 0.6669 0.3331 0.0000  6 S 2.87-2.89
S1 0.9144 0.5714 0.7434  3 Ce 2.83-2.89, 2 Pm 2.88-2.89, 1 Ac 2.97
S2 0.7412 0.7412 0.2533  3 Ce 2.82-2.88, 2 Pm 2.87, 1 Ac 2.96
S3 0.0856 0.4286 0.2566  3 Ce 2.83-2.89, 2 Pm 2.88-2.89, 1 Ac 2.97
S4 0.5714 0.9144 0.7434  3 Ce 2.83-2.89, 2 Pm 2.88-2.89, 1 Ac 2.97
S5 0.2588 0.2588 0.7467  3 Ce 2.82-2.88, 2 Pm 2.87, 1 Ac 2.96
S6 0.4286 0.0856 0.2566  3 Ce 2.83-2.89, 2 Pm 2.88-2.89, 1 Ac 2.97


Record 15
# PmScSO2

An optimized crystal structure of PmScSO2 (GGA-PBE, Alexandria via LeMat-Bulk).

## Properties
- Uncorrected energy: -80.5 eV/cell
- Total moment: 0.000 μB/atom
- DOS(E_F): 0.0 states/eV/cell
- ρ: 4.6 Mg/m³
- Volume: 183 Å³/cell

Cell lengths 4.0350, 6.7536, 7.5825 Å; angles 117.45, 90.00, 90.00 degrees
Last column: nearest neighbours and their distance in Å.
Atoms (fractional coordinates):
Pm1 0.2500 0.6954 0.9501  4 O 2.35-2.44
Pm2 0.7500 0.3046 0.0499  4 O 2.35-2.44
Sc1 0.2500 0.6501 0.4497  4 O 2.05-2.11
Sc2 0.7500 0.3499 0.5503  4 O 2.05-2.11
S1 0.2500 0.0054 0.7735  1 Sc 2.52
S2 0.7500 0.9946 0.2265  1 Sc 2.52
O1 0.7500 0.5450 0.4089  3 Sc 2.05-2.11
O2 0.2500 0.4550 0.5911  3 Sc 2.05-2.11
O3 0.7500 0.4933 0.8550  1 Sc 2.05
O4 0.2500 0.5067 0.1450  1 Sc 2.05


Record 16
# Zn5Cu

An optimized crystal structure of Zn5Cu (GGA-PBE, Alexandria via LeMat-Bulk).

## Properties
- Total moment: 0.000 μB/atom
- E_form: 12 meV/atom
- DOS(E_F): 2.4 states/eV/cell
- ρ: 7.5 Mg/m³
- Volume: 87 Å³/cell

Cell lengths 2.7711, 2.7711, 11.2669 Å; angles 90.00, 90.00, 90.00 degrees
Last column: nearest neighbours and their distance in Å.
Atoms (fractional coordinates):
Cu1 0.5000 0.5000 0.0000  8 Zn 2.62, 4 Cu 2.77
Zn1 0.0000 0.0000 0.8455  4 Cu 2.62, 8 Zn 2.77
Zn2 0.0000 0.0000 0.1545  4 Cu 2.62, 8 Zn 2.77
Zn3 0.5000 0.5000 0.6722  12 Zn 2.76-2.77
Zn4 0.5000 0.5000 0.3278  12 Zn 2.76-2.77
Zn5 0.0000 0.0000 0.5000  12 Zn 2.76-2.77


Record 17
# MgAl3Hg

An optimized crystal structure of MgAl3Hg (GGA-PBE, Alexandria via LeMat-Bulk).

## Properties
- Total moment: 0.000 μB/atom
- E_form: 664 meV/atom
- DOS(E_F): 2.4 states/eV/cell
- ρ: 3.8 Mg/m³
- Volume: 134 Å³/cell
- Excess energy over the best structure of this formula in the dataset: 0 meV per atom

Cell lengths 5.1193, 5.1193, 5.1193 Å; angles 90.00, 90.00, 90.00 degrees
Last column: nearest neighbours and their distance in Å.
Atoms (fractional coordinates):
Mg1 0.5000 0.5000 0.5000  12 Al 3.62
Hg1 0.0000 0.0000 0.0000  6 Al 2.56
Al1 0.0000 0.5000 0.0000  2 Hg 2.56
Al2 0.0000 0.0000 0.5000  2 Hg 2.56
Al3 0.5000 0.0000 0.0000  2 Hg 2.56


Record 18
# Al3VBr

An optimized crystal structure of Al3VBr (GGA-PBE, Alexandria via LeMat-Bulk).

## Properties
- Total moment: 0.987 μB/atom
- DOS(E_F): 1.5 states/eV/cell
- ρ: 2.7 Mg/m³
- Volume: 132 Å³/cell
- Excess energy over the best structure of this formula in the dataset: 0 meV per atom

Cell lengths 5.0919, 5.0919, 5.0919 Å; angles 90.00, 90.00, 90.00 degrees
Last column: nearest neighbours and their distance in Å.
Atoms (fractional coordinates):
Al1 0.0000 0.5000 0.0000  2 V 2.55
Al2 0.0000 0.0000 0.5000  2 V 2.55
Al3 0.5000 0.0000 0.0000  2 V 2.55
Br1 0.5000 0.5000 0.5000  12 Al 3.60
V1 0.0000 0.0000 0.0000  6 Al 2.55


Record 19
# VRe3Bi

An optimized crystal structure of VRe3Bi (GGA-PBE, Alexandria via LeMat-Bulk).

## Properties
- Total moment: 0.435 μB/atom
- E_form: 1608 meV/atom
- DOS(E_F): 4.2 states/eV/cell
- ρ: 13.8 Mg/m³
- Volume: 98 Å³/cell
- Excess energy over the best structure of this formula in the dataset: 0 meV per atom

Cell lengths 4.6166, 4.6166, 4.6166 Å; angles 90.00, 90.00, 90.00 degrees
Last column: nearest neighbours and their distance in Å.
Atoms (fractional coordinates):
Re1 0.0000 0.5000 0.0000  2 V 2.31
Re2 0.0000 0.0000 0.5000  2 V 2.31
Re3 0.5000 0.0000 0.0000  2 V 2.31
Bi1 0.5000 0.5000 0.5000  12 Re 3.26
V1 0.0000 0.0000 0.0000  6 Re 2.31


Record 20
# Mg8ZnCu4

An optimized crystal structure of Mg8ZnCu4 (GGA-PBE, Alexandria via LeMat-Bulk).

## Properties
- Total moment: 0.000 μB/atom
- E_form: -10 meV/atom
- DOS(E_F): 4.3 states/eV/cell
- ρ: 3.5 Mg/m³
- Volume: 243 Å³/cell

Cell lengths 7.9066, 7.9066, 7.9066 Å; angles 94.01, 94.01, 149.34 degrees
Last column: nearest neighbours and their distance in Å.
Atoms (fractional coordinates):
Zn1 0.0000 0.0000 0.0000  8 Mg 2.94
Mg1 0.3211 0.5693 0.8903  3 Cu 2.64-2.69, 2 Mg 2.93, 2 Zn 2.94
Mg2 0.6789 0.4307 0.1097  3 Cu 2.64-2.69, 2 Mg 2.93, 2 Zn 2.94
Mg3 0.4307 0.3211 0.7518  3 Cu 2.64-2.69, 2 Mg 2.93, 2 Zn 2.94
Mg4 0.5693 0.6789 0.2482  3 Cu 2.64-2.69, 2 Mg 2.93, 2 Zn 2.94
Mg5 0.9403 0.3398 0.2801  4 Cu 2.72-2.89, 1 Mg 2.98
Mg6 0.0597 0.6602 0.7199  4 Cu 2.72-2.89, 1 Mg 2.98
Mg7 0.6602 0.9403 0.6006  4 Cu 2.72-2.89, 1 Mg 2.98
Mg8 0.3398 0.0597 0.3994  4 Cu 2.72-2.89, 1 Mg 2.98
Cu1 0.1893 0.2813 0.4706  2 Cu 2.56, 6 Mg 2.64-2.76
Cu2 0.8107 0.7187 0.5294  2 Cu 2.56, 6 Mg 2.64-2.76
Cu3 0.7187 0.1893 0.9080  2 Cu 2.56, 6 Mg 2.64-2.76
Cu4 0.2813 0.8107 0.0920  2 Cu 2.56, 6 Mg 2.64-2.76